(1)
# FeBTe2 (PBEsol, relaxed)
# D(E_F) = 0.965 states/eV per atom
# energy relative to the elements, uncorrected = 0.809 eV per atom
# total magnetic moment = 0.0 μB/f.u.
data_FeBTe2
_cell_length_a 3.7450
_cell_length_b 3.7450
_cell_length_c 20.4475
_cell_angle_alpha 90.00
_cell_angle_beta 90.00
_cell_angle_gamma 120.00
_symmetry_space_group_name_H-M 'R -3 m'
_symmetry_Int_Tables_number 166
_symmetry_space_group_name_Hall '-R 3 2"'
loop_
_atom_site_label
_atom_site_fract_x
_atom_site_fract_y
_atom_site_fract_z
Fe1 0.0000 0.0000 0.0000
B1 0.0000 0.0000 0.5000
Te1 0.0000 0.0000 0.3974

---

(2)
# FeBTe3 (PBEsol, relaxed)
# D(E_F) = 1.478 states/eV per atom
# energy relative to the elements, uncorrected = 1.050 eV per atom
# total magnetic moment = 3.4 μB/f.u.
data_FeBTe3
_cell_length_a 4.758
_cell_length_b 4.758
_cell_length_c 4.758
_cell_angle_alpha 90.00
_cell_angle_beta 90.00
_cell_angle_gamma 90.00
_symmetry_space_group_name_H-M 'P m -3 m'
_symmetry_Int_Tables_number 221
_symmetry_space_group_name_Hall '-P 4 2 3'
loop_
_atom_site_label
_atom_site_fract_x
_atom_site_fract_y
_atom_site_fract_z
Fe1 0.000 0.000 0.000
B1 0.500 0.500 0.500
Te1 0.000 0.500 0.500

---

(3)
# TiFeB2Te (PBEsol, relaxed)
# D(E_F) = 1.131 states/eV per atom
# energy relative to the elements, uncorrected = 0.672 eV per atom
# total magnetic moment = 0.7 μB/f.u.
data_TiFeB2Te
_cell_length_a 3.799
_cell_length_b 3.799
_cell_length_c 5.061
_cell_angle_alpha 90.00
_cell_angle_beta 90.00
_cell_angle_gamma 90.00
_symmetry_space_group_name_H-M 'P 4/m m m'
_symmetry_Int_Tables_number 123
_symmetry_space_group_name_Hall '-P 4 2'
loop_
_atom_site_label
_atom_site_fract_x
_atom_site_fract_y
_atom_site_fract_z
Ti1 0.000 0.000 0.000
Fe1 0.500 0.500 0.500
B1 0.000 0.500 0.500
Te1 0.500 0.500 0.000

---

(4)
# Th2FeB10 (PBEsol, relaxed)
# D(E_F) = 0.245 states/eV per atom
# total magnetic moment = 0.0 μB/f.u.
# energy relative to the elements = -0.65 eV per atom
data_Th2FeB10
_cell_length_a 5.590
_cell_length_b 11.154
_cell_length_c 4.157
_cell_angle_alpha 90.00
_cell_angle_beta 90.00
_cell_angle_gamma 90.00
_symmetry_space_group_name_H-M 'P b a m'
_symmetry_Int_Tables_number 55
loop_
_symmetry_equiv_pos_as_xyz
'x,y,z'
'-x,-y,-z'
'-x,-y,z'
'x,y,-z'
'x+1/2,-y+1/2,-z'
'-x+1/2,y+1/2,z'
'-x+1/2,y+1/2,-z'
'x+1/2,-y+1/2,z'
loop_
_atom_site_label
_atom_site_fract_x
_atom_site_fract_y
_atom_site_fract_z
Th1 0.207 0.132 0.000
Fe1 0.000 0.500 0.500
B1 0.037 0.313 0.500
B2 0.128 0.961 0.500
B3 0.150 0.803 0.500
B4 0.203 0.387 0.201

---

(5)
# TlFeB3 (PBEsol, relaxed)
# D(E_F) = 1.081 states/eV per atom
# total magnetic moment = 2.9 μB/f.u.
# energy relative to the elements = 2.91 eV per atom
data_TlFeB3
_cell_length_a 4.395
_cell_length_b 4.395
_cell_length_c 4.395
_cell_angle_alpha 90.00
_cell_angle_beta 90.00
_cell_angle_gamma 90.00
_symmetry_space_group_name_H-M 'P m -3 m'
_symmetry_Int_Tables_number 221
_symmetry_space_group_name_Hall '-P 4 2 3'
loop_
_atom_site_label
_atom_site_fract_x
_atom_site_fract_y
_atom_site_fract_z
Tl1 0.000 0.000 0.000
Fe1 0.500 0.500 0.500
B1 0.000 0.000 0.500

---

(6)
# TmFe4B (PBEsol, relaxed)
# D(E_F) = 0.867 states/eV per atom
# total magnetic moment = 6.9 μB/f.u.
# energy relative to the elements = -0.27 eV per atom
data_TmFe4B
_cell_length_a 4.9134
_cell_length_b 4.9134
_cell_length_c 6.9237
_cell_angle_alpha 90.00
_cell_angle_beta 90.00
_cell_angle_gamma 120.00
_symmetry_space_group_name_H-M 'P 6/m m m'
_symmetry_Int_Tables_number 191
_symmetry_space_group_name_Hall '-P 6 2'
loop_
_atom_site_label
_atom_site_fract_x
_atom_site_fract_y
_atom_site_fract_z
Tm1 0.0000 0.0000 0.0000
Tm2 0.0000 0.0000 0.5000
Fe1 0.0000 0.5000 0.2157
Fe2 0.3333 0.6667 0.5000
B1 0.3333 0.6667 0.0000

---

(7)
# TmFeB4 (PBEsol, relaxed)
# D(E_F) = 0.289 states/eV per atom
# total magnetic moment = 0.0 μB/f.u.
# energy relative to the elements = -0.73 eV per atom
data_TmFeB4
_cell_length_a 5.817
_cell_length_b 11.255
_cell_length_c 3.288
_cell_angle_alpha 90.00
_cell_angle_beta 90.00
_cell_angle_gamma 90.00
_symmetry_space_group_name_H-M 'P b a m'
_symmetry_Int_Tables_number 55
loop_
_symmetry_equiv_pos_as_xyz
'x,y,z'
'-x,-y,-z'
'-x,-y,z'
'x,y,-z'
'x+1/2,-y+1/2,-z'
'-x+1/2,y+1/2,z'
'-x+1/2,y+1/2,-z'
'x+1/2,-y+1/2,z'
loop_
_atom_site_label
_atom_site_fract_x
_atom_site_fract_y
_atom_site_fract_z
Tm1 0.127 0.150 0.000
Fe1 0.133 0.412 0.000
B1 0.024 0.691 0.500
B2 0.112 0.546 0.500
B3 0.138 0.968 0.500
B4 0.217 0.816 0.500

---

(8)
# UFe4B (PBEsol, relaxed)
# D(E_F) = 1.210 states/eV per atom
# total magnetic moment = 2.4 μB/f.u.
# energy relative to the elements = -0.20 eV per atom
data_UFe4B
_cell_length_a 4.8208
_cell_length_b 4.8208
_cell_length_c 6.8231
_cell_angle_alpha 90.00
_cell_angle_beta 90.00
_cell_angle_gamma 120.00
_symmetry_space_group_name_H-M 'P 6/m m m'
_symmetry_Int_Tables_number 191
_symmetry_space_group_name_Hall '-P 6 2'
loop_
_atom_site_label
_atom_site_fract_x
_atom_site_fract_y
_atom_site_fract_z
U1 0.0000 0.0000 0.0000
U2 0.0000 0.0000 0.5000
Fe1 0.0000 0.5000 0.2178
Fe2 0.3333 0.6667 0.5000
B1 0.3333 0.6667 0.0000

---

(9)
# UFeB4 (PBEsol, relaxed)
# D(E_F) = 0.854 states/eV per atom
# total magnetic moment = 0.0 μB/f.u.
# energy relative to the elements = -0.59 eV per atom
data_UFeB4
_cell_length_a 5.844
_cell_length_b 11.322
_cell_length_c 3.310
_cell_angle_alpha 90.00
_cell_angle_beta 90.00
_cell_angle_gamma 90.00
_symmetry_space_group_name_H-M 'P b a m'
_symmetry_Int_Tables_number 55
loop_
_symmetry_equiv_pos_as_xyz
'x,y,z'
'-x,-y,-z'
'-x,-y,z'
'x,y,-z'
'x+1/2,-y+1/2,-z'
'-x+1/2,y+1/2,z'
'-x+1/2,y+1/2,-z'
'x+1/2,-y+1/2,z'
loop_
_atom_site_label
_atom_site_fract_x
_atom_site_fract_y
_atom_site_fract_z
U1 0.127 0.150 0.000
Fe1 0.133 0.412 0.000
B1 0.025 0.692 0.500
B2 0.113 0.546 0.500
B3 0.135 0.966 0.500
B4 0.218 0.813 0.500

---

(10)
# Fe22B6W (PBEsol, relaxed)
# D(E_F) = 1.181 states/eV per atom
# total magnetic moment = 35.8 μB/f.u.
# energy relative to the elements = -0.22 eV per atom
data_Fe22B6W
_cell_length_a 10.389
_cell_length_b 10.389
_cell_length_c 10.389
_cell_angle_alpha 90.00
_cell_angle_beta 90.00
_cell_angle_gamma 90.00
_symmetry_space_group_name_H-M 'F -4 3 m'
_symmetry_Int_Tables_number 216
_symmetry_space_group_name_Hall 'F -4 2 3'
loop_
_atom_site_label
_atom_site_fract_x
_atom_site_fract_y
_atom_site_fract_z
Fe1 0.000 0.000 0.000
Fe2 0.000 0.171 0.171
Fe3 0.116 0.116 0.384
Fe4 0.121 0.121 0.621
Fe5 0.250 0.250 0.750
B1 0.000 0.000 0.275
W1 0.250 0.250 0.250

---

(11)
# FeBW (PBEsol, relaxed)
# D(E_F) = 0.877 states/eV per atom
# total magnetic moment = 0.8 μB/f.u.
# energy relative to the elements = -0.44 eV per atom
data_FeBW
_cell_length_a 5.695
_cell_length_b 3.206
_cell_length_c 6.653
_cell_angle_alpha 90.00
_cell_angle_beta 90.00
_cell_angle_gamma 90.00
_symmetry_space_group_name_H-M 'P n m a'
_symmetry_Int_Tables_number 62
loop_
_symmetry_equiv_pos_as_xyz
'x,y,z'
'-x,-y,-z'
'-x+1/2,-y,z+1/2'
'x+1/2,y,-z+1/2'
'x+1/2,-y+1/2,-z+1/2'
'-x+1/2,y+1/2,z+1/2'
'-x,y+1/2,-z'
'x,-y+1/2,z'
loop_
_atom_site_label
_atom_site_fract_x
_atom_site_fract_y
_atom_site_fract_z
Fe1 0.143 0.250 0.057
B1 0.231 0.750 0.870
W1 0.028 0.250 0.676

---

(12)
# YFe2B2 (PBEsol, relaxed)
# D(E_F) = 1.135 states/eV per atom
# total magnetic moment = 0.7 μB/f.u.
# energy relative to the elements = -0.16 eV per atom
data_YFe2B2
_cell_length_a 3.726
_cell_length_b 3.726
_cell_length_c 8.393
_cell_angle_alpha 90.00
_cell_angle_beta 90.00
_cell_angle_gamma 90.00
_symmetry_space_group_name_H-M 'I 4/m m m'
_symmetry_Int_Tables_number 139
_symmetry_space_group_name_Hall '-I 4 2'
loop_
_atom_site_label
_atom_site_fract_x
_atom_site_fract_y
_atom_site_fract_z
Y1 0.000 0.000 0.000
Fe1 0.000 0.000 0.333
B1 0.000 0.500 0.250

---

(13)
# YFe2B2 (PBEsol, relaxed)
# D(E_F) = 0.738 states/eV per atom
# total magnetic moment = 1.2 μB/f.u.
# energy relative to the elements = -0.50 eV per atom
data_YFe2B2
_cell_length_a 3.563
_cell_length_b 3.563
_cell_length_c 9.280
_cell_angle_alpha 90.00
_cell_angle_beta 90.00
_cell_angle_gamma 90.00
_symmetry_space_group_name_H-M 'I 4/m m m'
_symmetry_Int_Tables_number 139
_symmetry_space_group_name_Hall '-I 4 2'
loop_
_atom_site_label
_atom_site_fract_x
_atom_site_fract_y
_atom_site_fract_z
Y1 0.000 0.000 0.000
Fe1 0.000 0.500 0.250
B1 0.000 0.000 0.344

---

(14)
# YFeB4 (PBEsol, relaxed)
# D(E_F) = 0.302 states/eV per atom
# total magnetic moment = 0.0 μB/f.u.
# energy relative to the elements = -0.69 eV per atom
data_YFeB4
_cell_length_a 5.857
_cell_length_b 11.335
_cell_length_c 3.325
_cell_angle_alpha 90.00
_cell_angle_beta 90.00
_cell_angle_gamma 90.00
_symmetry_space_group_name_H-M 'P b a m'
_symmetry_Int_Tables_number 55
loop_
_symmetry_equiv_pos_as_xyz
'x,y,z'
'-x,-y,-z'
'-x,-y,z'
'x,y,-z'
'x+1/2,-y+1/2,-z'
'-x+1/2,y+1/2,z'
'-x+1/2,y+1/2,-z'
'x+1/2,-y+1/2,z'
loop_
_atom_site_label
_atom_site_fract_x
_atom_site_fract_y
_atom_site_fract_z
Y1 0.127 0.150 0.000
Fe1 0.132 0.412 0.000
B1 0.024 0.690 0.500
B2 0.111 0.546 0.500
B3 0.139 0.968 0.500
B4 0.218 0.816 0.500

---

(15)
# YZnFeB2 (PBEsol, relaxed)
# D(E_F) = 0.851 states/eV per atom
# total magnetic moment = 3.2 μB/f.u.
# energy relative to the elements = 2.25 eV per atom
data_YZnFeB2
_cell_length_a 4.441
_cell_length_b 4.441
_cell_length_c 5.054
_cell_angle_alpha 90.00
_cell_angle_beta 90.00
_cell_angle_gamma 90.00
_symmetry_space_group_name_H-M 'P 4/m m m'
_symmetry_Int_Tables_number 123
_symmetry_space_group_name_Hall '-P 4 2'
loop_
_atom_site_label
_atom_site_fract_x
_atom_site_fract_y
_atom_site_fract_z
Y1 0.000 0.000 0.000
Zn1 0.000 0.000 0.500
Fe1 0.500 0.500 0.500
B1 0.000 0.500 0.000

---

(16)
# ZrFeB3 (PBEsol, relaxed)
# D(E_F) = 0.551 states/eV per atom
# total magnetic moment = 0.1 μB/f.u.
# energy relative to the elements = 0.06 eV per atom
data_ZrFeB3
_cell_length_a 3.720
_cell_length_b 3.720
_cell_length_c 3.720
_cell_angle_alpha 90.00
_cell_angle_beta 90.00
_cell_angle_gamma 90.00
_symmetry_space_group_name_H-M 'P m -3 m'
_symmetry_Int_Tables_number 221
_symmetry_space_group_name_Hall '-P 4 2 3'
loop_
_atom_site_label
_atom_site_fract_x
_atom_site_fract_y
_atom_site_fract_z
Zr1 0.000 0.000 0.000
Fe1 0.500 0.500 0.500
B1 0.000 0.500 0.500

---

(17)
# GaGeB2 (PBEsol, relaxed)
# D(E_F) = 0.529 states/eV per atom
# total magnetic moment = 0.0 μB/f.u.
# energy relative to the elements = 0.72 eV per atom
data_GaGeB2
_cell_length_a 4.984
_cell_length_b 4.984
_cell_length_c 9.135
_cell_angle_alpha 90.00
_cell_angle_beta 90.00
_cell_angle_gamma 90.00
_symmetry_space_group_name_H-M 'I -4 2 d'
_symmetry_Int_Tables_number 122
_symmetry_space_group_name_Hall 'I -4 2bw'
loop_
_atom_site_label
_atom_site_fract_x
_atom_site_fract_y
_atom_site_fract_z
Ga1 0.000 0.000 0.000
Ge1 0.000 0.000 0.500
B1 0.237 0.250 0.625

---

(18)
# GaSi2GeB (PBEsol, relaxed)
# D(E_F) = 0.421 states/eV per atom
# energy relative to the elements, uncorrected = 0.548 eV per atom
# total magnetic moment = 0.0 μB/f.u.
data_GaSi2GeB
_cell_length_a 4.203
_cell_length_b 4.203
_cell_length_c 4.213
_cell_angle_alpha 90.00
_cell_angle_beta 90.00
_cell_angle_gamma 90.00
_symmetry_space_group_name_H-M 'P 4/m m m'
_symmetry_Int_Tables_number 123
_symmetry_space_group_name_Hall '-P 4 2'
loop_
_atom_site_label
_atom_site_fract_x
_atom_site_fract_y
_atom_site_fract_z
Ga1 0.000 0.000 0.000
Si1 0.000 0.500 0.500
Ge1 0.500 0.500 0.000
B1 0.000 0.000 0.500

---

(19)
# GaBH6 (PBEsol, relaxed)
# VASP energy = -3.71 eV/atom
# D(E_F) = 0.000 states/eV per atom
# total magnetic moment = 0.0 μB/f.u.
data_GaBH6
_cell_length_a 13.017
_cell_length_b 8.459
_cell_length_c 9.446
_cell_angle_alpha 90.00
_cell_angle_beta 123.97
_cell_angle_gamma 90.00
_symmetry_space_group_name_H-M 'C 1 2/c 1'
_symmetry_Int_Tables_number 15
loop_
_symmetry_equiv_pos_as_xyz
'x,y,z'
'-x,-y,-z'
'-x,y,-z+1/2'
'x,-y,z+1/2'
'x+1/2,y+1/2,z'
'-x+1/2,-y+1/2,-z'
'-x+1/2,y+1/2,-z+1/2'
'x+1/2,-y+1/2,z+1/2'
loop_
_atom_site_label
_atom_site_fract_x
_atom_site_fract_y
_atom_site_fract_z
Ga1 0.000 0.194 0.250
Ga2 0.194 0.381 0.784
B1 0.000 0.332 0.750
B2 0.151 0.066 0.512
H1 0.017 0.249 0.659
H2 0.074 0.006 0.369
H3 0.084 0.424 0.852
H4 0.085 0.258 0.198
H5 0.126 0.010 0.608
H6 0.145 0.479 0.621
H7 0.156 0.210 0.522
H8 0.237 0.272 0.127
H9 0.249 0.473 0.468